1.
LaIn2Hg: single point on PBEsol structure, meta-GGA SCAN.

Geometry as CIF:
```
data_LaIn2Hg
_space_group_name_H-M_alt 'I -4 m 2'
_space_group_IT_number 119
_space_group_name_Hall 'I -4 -2'
_cell_length_a 4.774
_cell_length_b 4.774
_cell_length_c 9.034
_cell_angle_alpha 90.00
_cell_angle_beta 90.00
_cell_angle_gamma 90.00
loop_
_atom_site_label
_atom_site_type_symbol
_atom_site_fract_x
_atom_site_fract_y
_atom_site_fract_z
_atom_site_occupancy
La1 La 0.000 0.000 0.000 1
In1 In 0.000 0.000 0.500 1
In2 In 0.000 0.500 0.750 1
Hg1 Hg 0.000 0.500 0.250 1
```

Properties
* energy of formation from the pure elements: -0.48 eV per atom
* total DFT energy (no corrections): -45.00 eV/atom
* crystal system: tetragonal


2.
La2In2Hg: single point on PBEsol structure, meta-GGA SCAN.

Geometry as CIF:
```
data_La2In2Hg
_space_group_name_H-M_alt 'P 4/m b m'
_space_group_IT_number 127
_space_group_name_Hall '-P 4 2ab'
_cell_length_a 7.524
_cell_length_b 7.524
_cell_length_c 4.974
_cell_angle_alpha 90.00
_cell_angle_beta 90.00
_cell_angle_gamma 90.00
loop_
_atom_site_label
_atom_site_type_symbol
_atom_site_fract_x
_atom_site_fract_y
_atom_site_fract_z
_atom_site_occupancy
La1 La 0.169 0.331 0.000 1
In1 In 0.136 0.636 0.500 1
Hg1 Hg 0.000 0.000 0.500 1
```

Properties
* energy of formation from the pure elements: -0.61 eV per atom
* total DFT energy (no corrections): -44.84 eV/atom
* crystal system: tetragonal


3.
La2InHg2: single point on PBEsol structure, meta-GGA SCAN.

Geometry as CIF:
```
data_La2InHg2
_space_group_name_H-M_alt 'P 4/m b m'
_space_group_IT_number 127
_space_group_name_Hall '-P 4 2ab'
_cell_length_a 8.244
_cell_length_b 8.244
_cell_length_c 4.109
_cell_angle_alpha 90.00
_cell_angle_beta 90.00
_cell_angle_gamma 90.00
loop_
_atom_site_label
_atom_site_type_symbol
_atom_site_fract_x
_atom_site_fract_y
_atom_site_fract_z
_atom_site_occupancy
La1 La 0.175 0.325 0.000 1
In1 In 0.000 0.000 0.500 1
Hg1 Hg 0.126 0.626 0.500 1
```

Properties
* energy of formation from the pure elements: -0.69 eV per atom
* total DFT energy (no corrections): -51.88 eV/atom
* crystal system: tetragonal


4.
LaIn2Hg2: single point on PBEsol structure, meta-GGA SCAN.

Geometry as CIF:
```
data_LaIn2Hg2
_space_group_name_H-M_alt 'I 4/m m m'
_space_group_IT_number 139
_space_group_name_Hall '-I 4 2'
_cell_length_a 4.542
_cell_length_b 4.542
_cell_length_c 12.253
_cell_angle_alpha 90.00
_cell_angle_beta 90.00
_cell_angle_gamma 90.00
loop_
_atom_site_label
_atom_site_type_symbol
_atom_site_fract_x
_atom_site_fract_y
_atom_site_fract_z
_atom_site_occupancy
La1 La 0.000 0.000 0.000 1
In1 In 0.000 0.500 0.250 1
Hg1 Hg 0.000 0.000 0.390 1
```

Properties
* energy of formation from the pure elements: -0.50 eV per atom
* total DFT energy (no corrections): -49.74 eV/atom
* crystal system: tetragonal


5.
La2InHg: single point on PBEsol structure, meta-GGA SCAN.

Geometry as CIF:
```
data_La2InHg
_space_group_name_H-M_alt 'I m m 2'
_space_group_IT_number 44
_cell_length_a 3.883
_cell_length_b 5.292
_cell_length_c 10.911
_cell_angle_alpha 90.00
_cell_angle_beta 90.00
_cell_angle_gamma 90.00
loop_
_space_group_symop_operation_xyz
'x,y,z'
'-x,-y,z'
'-x,y,z'
'x,-y,z'
'x+1/2,y+1/2,z+1/2'
'-x+1/2,-y+1/2,z+1/2'
'-x+1/2,y+1/2,z+1/2'
'x+1/2,-y+1/2,z+1/2'
loop_
_atom_site_label
_atom_site_type_symbol
_atom_site_fract_x
_atom_site_fract_y
_atom_site_fract_z
_atom_site_occupancy
La1 La 0.000 0.000 0.000 1
La2 La 0.000 0.500 0.228 1
In1 In 0.000 0.500 0.775 1
Hg1 Hg 0.000 0.000 0.477 1
```

Properties
* energy of formation from the pure elements: -0.62 eV per atom
* total DFT energy (no corrections): -47.56 eV/atom
* crystal system: orthorhombic


6.
LaInHg: single point on PBEsol structure, meta-GGA SCAN.

Geometry as CIF:
```
data_LaInHg
_space_group_name_H-M_alt 'P -6 m 2'
_space_group_IT_number 187
_space_group_name_Hall 'P -6 2'
_cell_length_a 4.9412
_cell_length_b 4.9412
_cell_length_c 3.7101
_cell_angle_alpha 90.00
_cell_angle_beta 90.00
_cell_angle_gamma 120.00
loop_
_atom_site_label
_atom_site_type_symbol
_atom_site_fract_x
_atom_site_fract_y
_atom_site_fract_z
_atom_site_occupancy
La1 La 0.0000 0.0000 0.0000 1
In1 In 0.6667 0.3333 0.5000 1
Hg1 Hg 0.3333 0.6667 0.5000 1
```

Properties
* energy of formation from the pure elements: -0.71 eV per atom
* total DFT energy (no corrections): -48.93 eV/atom
* crystal system: hexagonal


- What is the energy of formation from the pure elements in the second record?
  -0.61 eV per atom


- Which of these has the highest total DFT energy (no corrections)?
  La2In2Hg